# 1
Here is LiMo5 after structural relaxation from Alexandria via LeMat-Bulk. Energies are from GGA-PBE.

a b c (Å): 2.616 2.616 14.042
angles (deg): 90.00 90.00 90.00
Space group P4/mmm (No. 123)
Symmetry-distinct sites (fractional):
Li  0.000  0.000  0.000 [1 per cell]
Mo  0.000  0.000  0.334 [2 per cell]
Mo  0.500  0.500  0.166 [2 per cell]
Mo  0.500  0.500  0.500 [1 per cell]

Crystal system: tetragonal
Formation energy, kJ/mol of formula units: 208
Offset from the most stable computed form, eV per atom: 0.000


# 2
Here is TaNbAlMo after structural relaxation from Alexandria via LeMat-Bulk. Energies are from GGA-PBE.

a b c (Å): 6.472 6.472 6.472
angles (deg): 90.00 90.00 90.00
Space group F-43m (No. 216)
Symmetry-distinct sites (fractional):
Ta  0.000  0.000  0.000 [4 per cell]
Nb  0.000  0.000  0.500 [4 per cell]
Al  0.250  0.250  0.250 [4 per cell]
Mo  0.250  0.250  0.750 [4 per cell]

Crystal system: cubic
Formation energy, kJ/mol of formula units: -32


# 3
Here is TeIrAu2 after structural relaxation from Alexandria via LeMat-Bulk. Energies are from GGA-PBE.

a b c (Å): 3.857 3.856 5.534
angles (deg): 90.00 90.13 90.00
Space group P2/m (No. 10)
Symmetry-distinct sites (fractional):
Te  0.000  0.000  0.000 [1 per cell]
Ir  0.500  0.500  0.000 [1 per cell]
Au  0.000  0.000  0.500 [1 per cell]
Au  0.500  0.500  0.500 [1 per cell]

Crystal system: monoclinic
Energy relative to the elements, uncorrected, meV/atom: 294


# 4
Here is Na2GaSb2 after structural relaxation from Alexandria via LeMat-Bulk. Energies are from GGA-PBE.

a b c (Å): 6.593 12.879 7.228
angles (deg): 90.00 90.00 90.00
Space group Ibam (No. 72)
Symmetry-distinct sites (fractional):
Na  0.193  0.141  0.000 [8 per cell]
Ga  0.000  0.500  0.250 [4 per cell]
Sb  0.214  0.387  0.000 [8 per cell]

Crystal system: orthorhombic
Offset from the most stable computed form, eV per atom: 0.073
Energy relative to the elements, uncorrected, meV/atom: -204


# 5
Here is CsBeBr3 after structural relaxation from Alexandria via LeMat-Bulk. Energies are from GGA-PBE.

a b c (Å): 7.611 15.381 6.328
angles (deg): 90.00 90.00 90.00
Space group Cmc2_1 (No. 36)
Symmetry-distinct sites (fractional):
Cs  0.000  0.146  0.000 [4 per cell]
Be  0.000  0.428  0.083 [4 per cell]
Br  0.000  0.438  0.447 [4 per cell]
Br  0.239  0.360  0.003 [8 per cell]

Crystal system: orthorhombic
Offset from the most stable computed form, eV per atom: 0.000
Energy relative to the elements, uncorrected, meV/atom: -1371


# 6
Here is Sr2Nd3NpN6 after structural relaxation from Alexandria via LeMat-Bulk. Energies are from GGA-PBE.

a b c (Å): 6.324 10.986 6.251
angles (deg): 90.00 109.76 90.00
Space group C2/m (No. 12)
Symmetry-distinct sites (fractional):
Sr  0.000  0.167  0.000 [4 per cell]
Nd  0.000  0.000  0.500 [2 per cell]
Nd  0.000  0.339  0.500 [4 per cell]
Np  0.000  0.500  0.000 [2 per cell]
N  0.209  0.500  0.752 [4 per cell]
N  0.217  0.361  0.234 [8 per cell]

Crystal system: monoclinic
Energy relative to the elements, uncorrected, meV/atom: -1156


# 7
Here is Si2Tc2Se after structural relaxation from Alexandria via LeMat-Bulk. Energies are from GGA-PBE.

a b c (Å): 7.055 7.055 3.003
angles (deg): 90.00 90.00 90.00
Space group P4/mbm (No. 127)
Symmetry-distinct sites (fractional):
Si  0.132  0.368  0.000 [4 per cell]
Tc  0.158  0.658  0.500 [4 per cell]
Se  0.000  0.000  0.500 [2 per cell]

Crystal system: tetragonal
Offset from the most stable computed form, eV per atom: 0.059
Energy relative to the elements, uncorrected, meV/atom: -103


# 8
Here is MgBeSi2 after structural relaxation from Alexandria via LeMat-Bulk. Energies are from GGA-PBE.

a b c (Å): 3.858 3.858 3.834
angles (deg): 90.00 90.00 90.00
Space group P4/mmm (No. 123)
Symmetry-distinct sites (fractional):
Mg  0.000  0.000  0.000 [1 per cell]
Be  0.500  0.500  0.000 [1 per cell]
Si  0.000  0.500  0.500 [2 per cell]

Crystal system: tetragonal
Offset from the most stable computed form, eV per atom: 0.216
Energy relative to the elements, uncorrected, meV/atom: 317


no.,DOS(E_F) (states/eV per cell),volume (Å³ per cell)
1,4.7,96.1
2,19.6,271.1
3,1.4,82.3
4,14.5,613.7
5,0.0,740.8
6,6.9,408.7
7,8.2,149.5
8,1.1,57.1